# Cd4HgPb2

A relaxed structure of Cd4HgPb2 (PBE-GGA, Alexandria via LeMat-Bulk).

Output
DFT formation energy (meV per atom): 268
Spin magnetization (μB per formula unit): 0.00
E (eV/cell): -9.5
Mass density (g/cm3): 7.63
N(E_F) (states/eV/f.u.): 3.60

Cell: 8.550 8.550 8.550 Å, 142.33 142.33 54.33°
Atoms (fractional coordinates):
Cd 0.000 0.500 0.500
Cd 0.189 0.189 0.000
Cd 0.500 0.000 0.500
Cd 0.811 0.811 0.000
Hg 0.000 0.000 0.000
Pb 0.384 0.384 0.000
Pb 0.616 0.616 0.000

=====

# LaTl2RhAu

A relaxed structure of LaTl2RhAu (PBE-GGA, Alexandria via LeMat-Bulk).

Output
DFT formation energy (meV per atom): -293
Spin magnetization (μB per formula unit): 0.00
E (eV/cell): -21.8
Mass density (g/cm3): 9.65
N(E_F) (states/eV/f.u.): 2.51

Cell: 5.251 5.251 5.287 Å, 90.00 90.00 90.00°
Atoms (fractional coordinates):
La 0.000 0.000 0.000
Tl 0.000 0.500 0.500
Tl 0.500 0.000 0.500
Rh 0.000 0.000 0.500
Au 0.500 0.500 0.000

=====

# BaPtS2Cl

A relaxed structure of BaPtS2Cl (PBE-GGA, Alexandria via LeMat-Bulk).

Output
Energy above the lowest structure with this stoichiometry (meV per atom): 1616
Spin magnetization (μB per formula unit): 3.04
Formation energy from raw total energies (eV/f.u.): 3.4
E (eV/cell): -14.7
Mass density (g/cm3): 3.38
N(E_F) (states/eV/f.u.): 9.78

Cell: 6.073 6.073 5.762 Å, 90.00 90.00 90.00°
Atoms (fractional coordinates):
Ba 0.000 0.000 0.000
Pt 0.500 0.500 0.500
S 0.000 0.500 0.000
S 0.500 0.000 0.000
Cl 0.000 0.000 0.500

=====

# Li2RuSe

A relaxed structure of Li2RuSe (PBE-GGA, Alexandria via LeMat-Bulk).

Output
Spin magnetization (μB per formula unit): 0.25
Formation energy from raw total energies (eV/f.u.): -0.2
E (eV/cell): -16.8
Mass density (g/cm3): 5.45
N(E_F) (states/eV/f.u.): 1.60

Cell: 8.798 8.798 8.798 Å, 18.37 18.37 18.37°
Atoms (fractional coordinates):
Li 0.250 0.250 0.250
Li 0.750 0.750 0.750
Ru 0.000 0.000 0.000
Se 0.500 0.500 0.500

=====

# InGa5Ag6

A relaxed structure of InGa5Ag6 (PBE-GGA, Alexandria via LeMat-Bulk).

Output
DFT formation energy (meV per atom): 7
Spin magnetization (μB per formula unit): 0.00
E (eV/cell): -34.9
Mass density (g/cm3): 8.33
N(E_F) (states/eV/f.u.): 3.41

Cell: 5.216 5.216 9.276 Å, 97.28 97.28 115.44°
Atoms (fractional coordinates):
In 0.000 0.000 0.000
Ga 0.164 0.836 0.500
Ga 0.336 0.664 0.000
Ga 0.500 0.500 0.500
Ga 0.664 0.336 0.000
Ga 0.836 0.164 0.500
Ag 0.084 0.424 0.257
Ag 0.258 0.258 0.746
Ag 0.424 0.084 0.257
Ag 0.576 0.916 0.743
Ag 0.742 0.742 0.254
Ag 0.916 0.576 0.743

=====

# SrAlSb2

A relaxed structure of SrAlSb2 (PBE-GGA, Alexandria via LeMat-Bulk).

Output
Spin magnetization (μB per formula unit): 0.00
Formation energy from raw total energies (eV/f.u.): -1.2
E (eV/cell): -14.8
Mass density (g/cm3): 5.24
N(E_F) (states/eV/f.u.): 2.06

Cell: 4.221 4.041 6.692 Å, 90.00 96.28 90.00°
Atoms (fractional coordinates):
Sr 0.000 0.000 0.000
Al 0.000 0.000 0.500
Sb 0.448 0.500 0.712
Sb 0.552 0.500 0.288